# GGA-PBE AlFeSCl2, optimized geometry
# - ρ (g/cm3) = 3.06
# - raw formation energy (kcal/mol of atoms) = -1.14
# - energy relative to the lowest polymorph listed for this composition (meV per atom) = 26
# - total energy (eV per atom) = -4.0547
data_AlFeSCl2
_chemical_formula_sum 'Al1 Fe1 S1 Cl2'
_symmetry_space_group_name_H-M 'P 4/m m m'
_symmetry_Int_Tables_number 123
_symmetry_space_group_name_Hall '-P 4 2'
_cell_length_a 4.8777
_cell_length_b 4.8777
_cell_length_c 4.2349
_cell_angle_alpha 90.00
_cell_angle_beta 90.00
_cell_angle_gamma 90.00
loop_
_atom_site_label
_atom_site_type_symbol
_atom_site_fract_x
_atom_site_fract_y
_atom_site_fract_z
Al1 Al 0.0000 0.0000 0.0000
Fe1 Fe 0.5000 0.5000 0.5000
S1 S 0.5000 0.5000 0.0000
Cl1 Cl 0.0000 0.5000 0.5000